(a)
# Sm3Ho2Er5

A geometry-optimized Sm3Ho2Er5 structure (PBE-GGA, the Alexandria database).

As for the total magnetization: 0.00 μB per cell. The density comes out at 8.3 g/cm³.

The space group is C2/c (No. 15) and the conventional cell measures 10.622, 15.784 and 9.385 Å, with angles of 90.00, 124.32 and 90.00 degrees. The inequivalent atoms are Sm at (0.000, 0.234, 0.250), Sm at (0.145, 0.124, 0.046), Ho at (0.152, 0.382, 0.548), Er at (0.000, 0.027, 0.250), Er at (0.000, 0.271, 0.750), Er at (0.000, 0.471, 0.750) and Er at (0.241, 0.388, 0.233).

=====

(b)
# Sm3Ho2Er5

A geometry-optimized Sm3Ho2Er5 structure (PBE-GGA, the Alexandria database).

As for the total magnetization: 0.00 μB per cell. The density comes out at 8.0 g/cm³.

The space group is Ibam (No. 72) and the conventional cell measures 12.816, 16.819 and 6.260 Å, with angles of 90.00, 90.00 and 90.00 degrees. The inequivalent atoms are Sm at (0.000, 0.000, 0.250), Sm at (0.158, 0.247, 0.000), Ho at (0.102, 0.156, 0.500), Er at (0.000, 0.500, 0.250), Er at (0.098, 0.344, 0.500) and Er at (0.248, 0.500, 0.250).

=====

Sorted by energy, starting with the most stable: (a), (b).

=====

(a)
# Sm2Ho4Er5

A geometry-optimized Sm2Ho4Er5 structure (PBE-GGA, the Alexandria database).

As for the total magnetization: 0.00 μB per cell. The density comes out at 8.3 g/cm³.

The space group is Immm (No. 71) and the conventional cell measures 3.476, 8.959 and 23.055 Å, with angles of 90.00, 90.00 and 90.00 degrees. The inequivalent atoms are Sm at (0.000, 0.000, 0.232), Ho at (0.000, 0.000, 0.097), Ho at (0.000, 0.309, 0.500), Er at (0.000, 0.195, 0.358) and Er at (0.000, 0.500, 0.000).

=====

(b)
# Sm2Ho4Er5

A geometry-optimized Sm2Ho4Er5 structure (PBE-GGA, the Alexandria database).

As for the total magnetization: 0.00 μB per cell. The density comes out at 8.7 g/cm³.

The space group is P-1 (No. 2) and the conventional cell measures 3.531, 8.656 and 11.717 Å, with angles of 75.84, 81.38 and 89.97 degrees. The inequivalent atoms are Sm at (0.092, 0.228, 0.318), Ho at (0.182, 0.954, 0.136), Ho at (0.454, 0.138, 0.592), Er at (0.000, 0.500, 0.500), Er at (0.272, 0.682, 0.956) and Er at (0.363, 0.408, 0.773).

=====

Sorted by energy, starting with the most stable: (b), (a).

=====

(a)
# SmHo7Er4

A geometry-optimized SmHo7Er4 structure (PBE-GGA, the Alexandria database).

As for the total magnetization: 0.00 μB per cell. The density comes out at 8.5 g/cm³.

The space group is C2/m (No. 12) and the conventional cell measures 11.975, 5.816 and 12.559 Å, with angles of 90.00, 117.98 and 90.00 degrees. The inequivalent atoms are Sm at (0.000, 0.000, 0.000), Ho at (0.000, 0.500, 0.000), Ho at (0.059, 0.000, 0.328), Ho at (0.135, 0.500, 0.503), Ho at (0.211, 0.000, 0.923), Er at (0.133, 0.500, 0.774) and Er at (0.249, 0.500, 0.315).

=====

(b)
# SmHo7Er4

A geometry-optimized SmHo7Er4 structure (PBE-GGA, the Alexandria database).

As for the total magnetization: 0.00 μB per cell. The density comes out at 8.8 g/cm³.

The space group is P-1 (No. 2) and the conventional cell measures 6.156, 7.109 and 8.753 Å, with angles of 89.97, 76.46 and 90.00 degrees. The inequivalent atoms are Sm at (0.000, 0.000, 0.000), Ho at (0.000, 0.500, 0.000), Ho at (0.222, 0.000, 0.335), Ho at (0.279, 0.749, 0.665), Ho at (0.500, 0.251, 0.000), Er at (0.221, 0.500, 0.335) and Er at (0.278, 0.251, 0.665).

=====

Sorted by energy, starting with the most stable: (b), (a).

=====

(a)
# SmHo3Er5

A geometry-optimized SmHo3Er5 structure (PBE-GGA, the Alexandria database).

As for the total magnetization: 0.00 μB per cell. The density comes out at 8.8 g/cm³.

The space group is Cmcm (No. 63) and the conventional cell measures 16.703, 9.614 and 6.959 Å, with angles of 90.00, 90.00 and 90.00 degrees. The inequivalent atoms are Sm at (0.000, 0.192, 0.250), Ho at (0.000, 0.500, 0.000), Ho at (0.169, 0.000, 0.000), Er at (0.000, 0.144, 0.750), Er at (0.156, 0.345, 0.750) and Er at (0.177, 0.323, 0.250).

=====

(b)
# SmHo3Er5

A geometry-optimized SmHo3Er5 structure (PBE-GGA, the Alexandria database).

As for the total magnetization: 0.00 μB per cell. The density comes out at 8.1 g/cm³.

The space group is C2/m (No. 12) and the conventional cell measures 16.680, 7.909 and 12.133 Å, with angles of 90.00, 130.59 and 90.00 degrees. The inequivalent atoms are Sm at (0.236, 0.000, 0.129), Ho at (0.000, 0.000, 0.000), Ho at (0.000, 0.500, 0.500), Ho at (0.120, 0.500, 0.315), Ho at (0.173, 0.000, 0.340), Er at (0.000, 0.321, 0.000), Er at (0.065, 0.206, 0.780), Er at (0.123, 0.000, 0.565) and Er at (0.201, 0.500, 0.072).

=====

Sorted by energy, starting with the most stable: (a), (b).

=====

(a)
# Sm7HoEr3

A geometry-optimized Sm7HoEr3 structure (PBE-GGA, the Alexandria database).

As for the total magnetization: 0.16 μB per cell. The density comes out at 7.7 g/cm³.

The space group is C2/m (No. 12) and the conventional cell measures 12.697, 11.253 and 5.843 Å, with angles of 90.00, 117.34 and 90.00 degrees. The inequivalent atoms are Sm at (0.000, 0.000, 0.000), Sm at (0.193, 0.290, 0.693), Sm at (0.209, 0.500, 0.207), Ho at (0.000, 0.000, 0.500), Er at (0.000, 0.296, 0.000) and Er at (0.000, 0.500, 0.500).

=====

(b)
# Sm7HoEr3

A geometry-optimized Sm7HoEr3 structure (PBE-GGA, the Alexandria database).

As for the total magnetization: 0.00 μB per cell. The density comes out at 7.8 g/cm³.

The space group is P2/m (No. 10) and the conventional cell measures 7.038, 5.597 and 9.959 Å, with angles of 90.00, 110.55 and 90.00 degrees. The inequivalent atoms are Sm at (0.000, 0.000, 0.000), Sm at (0.147, 0.500, 0.292), Sm at (0.320, 0.500, 0.640), Sm at (0.417, 0.000, 0.830), Ho at (0.000, 0.000, 0.500), Er at (0.279, 0.500, 0.999) and Er at (0.500, 0.000, 0.500).

=====

Sorted by energy, starting with the most stable: (b), (a).

=====

(a)
# Sm3HoEr2

A geometry-optimized Sm3HoEr2 structure (PBE-GGA, the Alexandria database).

As for the total magnetization: 0.00 μB per cell. The density comes out at 8.2 g/cm³.

The space group is P-1 (No. 2) and the conventional cell measures 7.196, 7.198 and 8.870 Å, with angles of 78.24, 78.21 and 60.05 degrees. The inequivalent atoms are Sm at (0.139, 0.139, 0.165), Sm at (0.139, 0.639, 0.166), Sm at (0.251, 0.749, 0.502), Ho at (0.251, 0.249, 0.502), Er at (0.363, 0.360, 0.834) and Er at (0.364, 0.861, 0.832).

=====

(b)
# Sm3HoEr2

A geometry-optimized Sm3HoEr2 structure (PBE-GGA, the Alexandria database).

As for the total magnetization: 0.01 μB per cell. The density comes out at 8.2 g/cm³.

The space group is C2/c (No. 15) and the conventional cell measures 17.499, 7.145 and 6.169 Å, with angles of 90.00, 90.24 and 90.00 degrees. The inequivalent atoms are Sm at (0.000, 0.125, 0.250), Sm at (0.167, 0.375, 0.417), Ho at (0.000, 0.375, 0.750) and Er at (0.167, 0.125, 0.917).

=====

Sorted by energy, starting with the most stable: (a), (b).